Entry 1:
The following is a PBE-GGA calculation of a geometry-optimized SiS2O structure, from Alexandria via LeMat-Bulk.

Cell: 6.001 6.001 8.135 Å, 90.00 90.00 90.00°
Space group I-42d (No. 122)
Symmetry-distinct sites (fractional):
Si  0.000  0.000  0.000 (multiplicity 4)
S  0.198  0.250  0.125 (multiplicity 8)
O  0.000  0.000  0.500 (multiplicity 4)

## Properties
E   -4.439 eV per atom
Relative energy among the computed polymorphs   0.276 eV per atom
Formation energy without anion corrections   0.220 eV/atom
Calculated volume   292.9 Å³ per cell
Calculated density   2.45 g cm⁻³

=====

Entry 2:
The following is a PBE-GGA calculation of a geometry-optimized CdSbP structure, from Alexandria via LeMat-Bulk.

Cell: 4.827 11.651 6.278 Å, 90.00 111.11 90.00°
Space group C2 (No. 5)
Symmetry-distinct sites (fractional):
Cd  0.000  0.000  0.000 (multiplicity 2)
Cd  0.000  0.301  0.500 (multiplicity 2)
Sb  0.032  0.667  0.782 (multiplicity 4)
P  0.189  0.358  0.166 (multiplicity 4)

## Properties
E   -3.494 eV per atom
Relative energy among the computed polymorphs   0.000 eV per atom
Formation energy without anion corrections   -0.012 eV/atom
Calculated volume   329.4 Å³ per cell
Calculated density   5.35 g cm⁻³

=====

Entry 3:
The following is a PBE-GGA calculation of a geometry-optimized HfTeRh2 structure, from Alexandria via LeMat-Bulk.

Cell: 5.424 5.424 13.374 Å, 90.00 90.00 90.00°
Space group I-42d (No. 122)
Symmetry-distinct sites (fractional):
Hf  0.000  0.000  0.000 (multiplicity 4)
Te  0.000  0.000  0.500 (multiplicity 4)
Rh  0.246  0.250  0.125 (multiplicity 8)

## Properties
E   -7.031 eV per atom
Formation energy without anion corrections   -0.081 eV/atom
Calculated volume   393.5 Å³ per cell
Calculated density   8.64 g cm⁻³

=====

Entry 4:
The following is a PBE-GGA calculation of a geometry-optimized Cs2RbPdI structure, from Alexandria via LeMat-Bulk.

Cell: 6.703 6.703 6.424 Å, 90.00 90.00 90.00°
Space group P4/mmm (No. 123)
Symmetry-distinct sites (fractional):
Cs  0.000  0.500  0.000 (multiplicity 2)
Rb  0.000  0.000  0.500 (multiplicity 1)
Pd  0.000  0.000  0.000 (multiplicity 1)
I  0.500  0.500  0.500 (multiplicity 1)

## Properties
E   -2.382 eV per atom
Formation energy without anion corrections   -0.499 eV/atom
Calculated volume   288.7 Å³ per cell
Calculated density   3.36 g cm⁻³

=====

Entry 5:
The following is a PBE-GGA calculation of a geometry-optimized Nd2SmSn2 structure, from Alexandria via LeMat-Bulk.

Cell: 8.289 8.289 4.507 Å, 90.00 90.00 90.00°
Space group P4/mbm (No. 127)
Symmetry-distinct sites (fractional):
Nd  0.171  0.329  0.000 (multiplicity 4)
Sm  0.000  0.000  0.500 (multiplicity 2)
Sn  0.130  0.630  0.500 (multiplicity 4)

## Properties
E   -5.151 eV per atom
Relative energy among the computed polymorphs   0.000 eV per atom
Calculated volume   309.6 Å³ per cell
Calculated density   7.25 g cm⁻³
Energy of formation   -0.70 eV/atom

=====

Entry 6:
The following is a PBE-GGA calculation of a geometry-optimized MgFeMo structure, from Alexandria via LeMat-Bulk.

Cell: 2.962 2.962 10.130 Å, 90.00 90.00 90.00°
Space group I4mm (No. 107)
Symmetry-distinct sites (fractional):
Mg  0.000  0.000  0.000 (multiplicity 2)
Fe  0.000  0.000  0.671 (multiplicity 2)
Mo  0.000  0.000  0.300 (multiplicity 2)

## Properties
E   -6.755 eV per atom
Relative energy among the computed polymorphs   0.000 eV per atom
Calculated volume   88.9 Å³ per cell
Calculated density   6.58 g cm⁻³
Energy of formation   0.21 eV/atom

=====

Entry 7:
The following is a PBE-GGA calculation of a geometry-optimized LiPm2Ni2 structure, from Alexandria via LeMat-Bulk.

Cell: 3.973 14.643 3.804 Å, 90.00 90.00 90.00°
Space group Cmmm (No. 65)
Symmetry-distinct sites (fractional):
Li  0.000  0.000  0.000 (multiplicity 2)
Pm  0.000  0.359  0.500 (multiplicity 4)
Ni  0.000  0.201  0.000 (multiplicity 4)

## Properties
E   -4.829 eV per atom
Relative energy among the computed polymorphs   0.002 eV per atom
Calculated volume   221.3 Å³ per cell
Calculated density   6.22 g cm⁻³
Energy of formation   -0.23 eV/atom

=====

Entry 8:
The following is a PBE-GGA calculation of a geometry-optimized HfOsF3 structure, from Alexandria via LeMat-Bulk.

Cell: 4.252 4.252 4.252 Å, 90.00 90.00 90.00°
Space group Pm-3m (No. 221)
Symmetry-distinct sites (fractional):
Hf  0.000  0.000  0.000 (multiplicity 1)
Os  0.500  0.500  0.500 (multiplicity 1)
F  0.000  0.000  0.500 (multiplicity 3)

## Properties
E   -6.405 eV per atom
Relative energy among the computed polymorphs   0.000 eV per atom
Formation energy without anion corrections   -1.046 eV/atom
Calculated volume   76.9 Å³ per cell
Calculated density   9.20 g cm⁻³

=====

Entry 9:
The following is a PBE-GGA calculation of a geometry-optimized CeMgPb structure, from Alexandria via LeMat-Bulk.

Cell: 7.290 7.290 7.290 Å, 90.00 90.00 90.00°
Space group F-43m (No. 216)
Symmetry-distinct sites (fractional):
Ce  0.000  0.000  0.000 (multiplicity 4)
Mg  0.000  0.000  0.500 (multiplicity 4)
Pb  0.250  0.250  0.250 (multiplicity 4)

## Properties
E   -3.828 eV per atom
Calculated volume   387.5 Å³ per cell
Calculated density   6.37 g cm⁻³
Energy of formation   -0.08 eV/atom

=====

Entry 10:
The following is a PBE-GGA calculation of a geometry-optimized Pu2Cu3 structure, from Alexandria via LeMat-Bulk.

Cell: 5.073 9.700 7.771 Å, 90.00 90.00 90.00°
Space group Cmce (No. 64)
Symmetry-distinct sites (fractional):
Pu  0.000  0.160  0.098 (multiplicity 8)
Cu  0.000  0.000  0.500 (multiplicity 4)
Cu  0.250  0.093  0.750 (multiplicity 8)

## Properties
E   -8.140 eV per atom
Calculated volume   382.4 Å³ per cell
Calculated density   11.79 g cm⁻³
Energy of formation   0.05 eV/atom

=====

Entry 11:
The following is a PBE-GGA calculation of a geometry-optimized Ac2PrSb structure, from Alexandria via LeMat-Bulk.

Cell: 5.215 5.215 5.120 Å, 90.00 90.00 90.00°
Space group P4/mmm (No. 123)
Symmetry-distinct sites (fractional):
Ac  0.000  0.500  0.000 (multiplicity 2)
Pr  0.000  0.000  0.500 (multiplicity 1)
Sb  0.500  0.500  0.500 (multiplicity 1)

## Properties
E   -4.756 eV per atom
Relative energy among the computed polymorphs   0.000 eV per atom
Formation energy without anion corrections   -0.476 eV/atom
Calculated volume   139.2 Å³ per cell
Calculated density   8.55 g cm⁻³

=====

Entry 12:
The following is a PBE-GGA calculation of a geometry-optimized Cs2CrPtI6 structure, from Alexandria via LeMat-Bulk.

Cell: 7.990 7.990 12.589 Å, 90.00 90.00 90.00°
Space group I4/mmm (No. 139)
Symmetry-distinct sites (fractional):
Cs  0.000  0.500  0.250 (multiplicity 4)
Cr  0.000  0.000  0.000 (multiplicity 2)
Pt  0.000  0.000  0.500 (multiplicity 2)
I  0.000  0.000  0.216 (multiplicity 4)
I  0.237  0.237  0.500 (multiplicity 8)

## Properties
E   -3.337 eV per atom
Formation energy without anion corrections   -0.670 eV/atom
Calculated volume   803.7 Å³ per cell
Calculated density   5.27 g cm⁻³

=====

Entry 13:
The following is a PBE-GGA calculation of a geometry-optimized Ce3TcGe structure, from Alexandria via LeMat-Bulk.

Cell: 6.695 5.089 6.750 Å, 90.00 90.02 90.00°
Space group P2_1/m (No. 11)
Symmetry-distinct sites (fractional):
Ce  0.171  0.250  0.251 (multiplicity 2)
Ce  0.294  0.750  0.529 (multiplicity 2)
Ce  0.294  0.750  0.972 (multiplicity 2)
Tc  0.475  0.250  0.750 (multiplicity 2)
Ge  0.086  0.250  0.750 (multiplicity 2)

## Properties
E   -6.912 eV per atom
Relative energy among the computed polymorphs   0.000 eV per atom
Calculated volume   230.0 Å³ per cell
Calculated density   8.53 g cm⁻³
Energy of formation   -0.36 eV/atom

=====

Entry 14:
The following is a PBE-GGA calculation of a geometry-optimized MgMoPt structure, from Alexandria via LeMat-Bulk.

Cell: 3.191 3.298 9.323 Å, 90.00 91.32 90.00°
Space group Pm (No. 6)
Symmetry-distinct sites (fractional):
Mg  0.000  0.000  0.000 (multiplicity 1)
Mg  0.018  0.000  0.322 (multiplicity 1)
Mo  0.529  0.500  0.512 (multiplicity 1)
Mo  0.953  0.000  0.653 (multiplicity 1)
Pt  0.495  0.500  0.835 (multiplicity 1)
Pt  0.510  0.500  0.167 (multiplicity 1)

## Properties
E   -6.464 eV per atom
Relative energy among the computed polymorphs   0.032 eV per atom
Calculated volume   98.1 Å³ per cell
Calculated density   10.68 g cm⁻³
Energy of formation   -0.31 eV/atom

=====

Entry 15:
The following is a PBE-GGA calculation of a geometry-optimized AcPrBiRh structure, from Alexandria via LeMat-Bulk.

Cell: 7.777 7.777 7.777 Å, 90.00 90.00 90.00°
Space group F-43m (No. 216)
Symmetry-distinct sites (fractional):
Ac  0.000  0.000  0.000 (multiplicity 4)
Pr  0.000  0.000  0.500 (multiplicity 4)
Bi  0.250  0.250  0.250 (multiplicity 4)
Rh  0.250  0.250  0.750 (multiplicity 4)

## Properties
E   -5.530 eV per atom
Calculated volume   470.4 Å³ per cell
Calculated density   9.60 g cm⁻³
Energy of formation   -0.50 eV/atom

=====

Entry 16:
The following is a PBE-GGA calculation of a geometry-optimized AgS2ICl structure, from Alexandria via LeMat-Bulk.

Cell: 5.130 5.130 5.398 Å, 90.00 90.00 90.00°
Space group P4/mmm (No. 123)
Symmetry-distinct sites (fractional):
Ag  0.000  0.000  0.000 (multiplicity 1)
S  0.000  0.500  0.500 (multiplicity 2)
I  0.500  0.500  0.500 (multiplicity 1)
Cl  0.500  0.500  0.000 (multiplicity 1)

## Properties
E   -2.225 eV per atom
Relative energy among the computed polymorphs   0.095 eV per atom
Formation energy without anion corrections   0.675 eV/atom
Calculated volume   142.1 Å³ per cell
Calculated density   3.91 g cm⁻³

=====

Entry 17:
The following is a PBE-GGA calculation of a geometry-optimized BaCaNiRu2 structure, from Alexandria via LeMat-Bulk.

Cell: 4.782 4.782 5.305 Å, 90.00 90.00 90.00°
Space group P4/mmm (No. 123)
Symmetry-distinct sites (fractional):
Ba  0.000  0.000  0.000 (multiplicity 1)
Ca  0.500  0.500  0.000 (multiplicity 1)
Ni  0.000  0.000  0.500 (multiplicity 1)
Ru  0.000  0.500  0.500 (multiplicity 2)

## Properties
E   -4.760 eV per atom
Calculated volume   121.3 Å³ per cell
Calculated density   6.00 g cm⁻³
Energy of formation   0.89 eV/atom

=====

Entry 18:
The following is a PBE-GGA calculation of a geometry-optimized TaMnS2Cl structure, from Alexandria via LeMat-Bulk.

Cell: 4.824 4.824 4.814 Å, 90.00 90.00 90.00°
Space group P4/mmm (No. 123)
Symmetry-distinct sites (fractional):
Ta  0.000  0.000  0.000 (multiplicity 1)
Mn  0.500  0.500  0.500 (multiplicity 1)
S  0.000  0.500  0.000 (multiplicity 2)
Cl  0.000  0.000  0.500 (multiplicity 1)

## Properties
E   -6.354 eV per atom
Relative energy among the computed polymorphs   0.000 eV per atom
Formation energy without anion corrections   -0.130 eV/atom
Calculated volume   112.0 Å³ per cell
Calculated density   4.97 g cm⁻³

=====

Entry 19:
The following is a PBE-GGA calculation of a geometry-optimized B2C structure, from Alexandria via LeMat-Bulk.

Cell: 2.6679 2.6679 15.5427 Å, 90.00 90.00 120.00°
Space group P-3m1 (No. 164)
Symmetry-distinct sites (fractional):
B  0.0000  0.0000  0.1217 (multiplicity 2)
B  0.3333  0.6667  0.2299 (multiplicity 2)
B  0.3333  0.6667  0.5918 (multiplicity 2)
B  0.3333  0.6667  0.7007 (multiplicity 2)
C  0.0000  0.0000  0.4550 (multiplicity 2)
C  0.3333  0.6667  0.1293 (multiplicity 2)

## Properties
E   -7.128 eV per atom
Relative energy among the computed polymorphs   0.213 eV per atom
Calculated volume   95.8 Å³ per cell
Calculated density   2.33 g cm⁻³
Energy of formation   0.40 eV/atom

=====

Entry 20:
The following is a PBE-GGA calculation of a geometry-optimized ErSbAu2 structure, from Alexandria via LeMat-Bulk.

Cell: 3.792 3.792 6.227 Å, 90.00 90.00 90.00°
Space group P4/mmm (No. 123)
Symmetry-distinct sites (fractional):
Er  0.000  0.000  0.000 (multiplicity 1)
Sb  0.000  0.000  0.500 (multiplicity 1)
Au  0.500  0.500  0.238 (multiplicity 2)

## Properties
E   -4.382 eV per atom
Formation energy without anion corrections   -0.572 eV/atom
Calculated volume   89.5 Å³ per cell
Calculated density   12.67 g cm⁻³